## LiNiI2O (PBE+U)

Data for a relaxed LiNiI2O crystal.

The calculated volume comes out at 22.29 Å³ per atom. As for the density of states at the Fermi level: 3.12 states/eV/cell. The total magnetization is 2.528 μB/f.u. Its raw total energy is -11.9 eV per cell. As for the crystal system: tetragonal.

abc: 5.5850 5.5850 3.5738
angles: 90.00 90.00 90.00
Last column: magnetic moment on the atom in μB.
Atoms (fractional coordinates):
I 0.0000 0.5000 0.0000  0.16
I 0.5000 0.0000 0.0000  0.16
Ni 0.5000 0.5000 0.5000  0.99
O 0.0000 0.0000 0.5000  0.88
Li 0.0000 0.0000 0.0000  -0.01